Compound: HgAsAu2
Source: Alexandria via LeMat-Bulk
Functional: GGA-PBE
Structure: relaxed

a = 7.5611 Å, b = 7.5611 Å, c = 4.2405 Å
α = 73.93°, β = 73.93°, γ = 22.18°
Sites, in units of the cell vectors:
Hg (0.5550, 0.5550, 0.4459)
Au (0.7137, 0.7137, 0.7847)
As (0.2836, 0.2836, 0.2147)
Au (0.9476, 0.9476, 0.0547)

Calculated values
**Total magnetic moment**: 0.00 μB per formula unit
**E_tot**: -2.761 eV per atom
**E_form**: 0.115 eV/atom
**Crystal system**: monoclinic